Material: LiFe3W
Method: DFT, GGA-PBEsol
State: optimized geometry

Cell and atoms, written as POSCAR:
```
LiFe3W
1.0
3.768 0.000 0.000
0.000 3.768 0.000
0.000 0.000 3.768
Li Fe W
1 3 1
Direct
0.000 0.000 0.000
0.000 0.000 0.500
0.000 0.500 0.000
0.500 0.000 0.000
0.500 0.500 0.500
```

Output
ΔE_f   940 meV per atom
Density   11.12 g/cm³
Calculated volume   10.703 A^3/atom
Energy relative to the lowest polymorph listed for this composition   0 meV/atom
Total DFT energy (no corrections)   -7.59 eV/atom